(1)
The following is a DFT calculation (PBE-GGA) of an optimized crystal structure of Ba2Cd3Ga4Ag.

Geometry as POSCAR:
```
Ba2Cd3Ga4Ag
1.0
4.6936 0.0000 0.0000
0.0000 4.6936 0.0000
0.0000 0.0000 11.7078
Ba Cd Ga Ag
2 3 4 1
Direct
0.0000 0.5000 0.2473
0.5000 0.0000 0.7527
0.0000 0.0000 0.0000
0.0000 0.5000 0.6337
0.5000 0.0000 0.3663
0.0000 0.0000 0.5000
0.0000 0.5000 0.8735
0.5000 0.0000 0.1265
0.5000 0.5000 0.5000
0.5000 0.5000 0.0000
```

Results
* density of states at the Fermi level: 0.60 states/eV/atom
* calculated formation energy: -0.299 eV/atom



(2)
The following is a DFT calculation (PBE-GGA) of an optimized crystal structure of BaCd2Ga4Ag.

Geometry as POSCAR:
```
BaCd2Ga4Ag
1.0
2.3610 1.3631 9.8103
-2.3610 1.3631 9.8103
0.0000 -2.7262 9.8103
Ba Cd Ga Ag
1 2 4 1
Direct
0.0000 0.0000 0.0000
0.2416 0.2416 0.2416
0.7584 0.7584 0.7584
0.1336 0.1336 0.1336
0.4050 0.4050 0.4050
0.5950 0.5950 0.5950
0.8664 0.8664 0.8664
0.5000 0.5000 0.5000
```

Results
* density of states at the Fermi level: 0.51 states/eV/atom
* calculated formation energy: -0.135 eV/atom



(3)
The following is a DFT calculation (PBE-GGA) of an optimized crystal structure of BaCd2GaAg.

Geometry as POSCAR:
```
BaCd2GaAg
1.0
5.3594 0.0000 0.0000
0.0000 5.3594 0.0000
0.0000 0.0000 5.1044
Ba Cd Ga Ag
1 2 1 1
Direct
0.0000 0.0000 0.0000
0.0000 0.5000 0.5000
0.5000 0.0000 0.5000
0.5000 0.5000 0.0000
0.5000 0.5000 0.5000
```

Results
* density of states at the Fermi level: 0.66 states/eV/atom
* calculated formation energy: -0.088 eV/atom



Repeat the second record exactly.
The following is a DFT calculation (PBE-GGA) of an optimized crystal structure of BaCd2Ga4Ag.

Geometry as POSCAR:
```
BaCd2Ga4Ag
1.0
2.3610 1.3631 9.8103
-2.3610 1.3631 9.8103
0.0000 -2.7262 9.8103
Ba Cd Ga Ag
1 2 4 1
Direct
0.0000 0.0000 0.0000
0.2416 0.2416 0.2416
0.7584 0.7584 0.7584
0.1336 0.1336 0.1336
0.4050 0.4050 0.4050
0.5950 0.5950 0.5950
0.8664 0.8664 0.8664
0.5000 0.5000 0.5000
```

Results
* density of states at the Fermi level: 0.51 states/eV/atom
* calculated formation energy: -0.135 eV/atom



Which of these has the lowest calculated formation energy? Ba2Cd3Ga4Ag